{"formula": "CrRhN2F", "functional": "PBE with a Hubbard U", "state": "relaxed", "dos_ef_per_ev_cell": 4.52, "e_tot_ha_per_atom": -0.22540, "sg": "P4/mmm (123)", "magmom_total_mub_per_atom": 0.39, "polymorph_energy_mev_per_atom": 8, "cell": [[3.8691, 0.0000, 0.0000], [0.0000, 3.8691, 0.0000], [0.0000, 0.0000, 3.7216]], "species": ["Cr", "Rh", "N", "N", "F"], "fractional_positions": [[0.0000, 0.0000, 0.0000], [0.5000, 0.5000, 0.5000], [0.0000, 0.5000, 0.0000], [0.5000, 0.0000, 0.0000], [0.0000, 0.0000, 0.5000]]}